[1]
The following is a DFT calculation (GGA-PBE) of crystalline MnTl2Mo at its relaxed geometry.

Cell: 3.0204 4.1425 6.1775 Å, 90.00 90.00 90.00°
Closest atoms and distances in Å follow each position.
Sites, in units of the cell vectors:
Mn (0.0000, 0.0000, 0.0000)  8 Tl 2.99, 2 Mn 3.02, 2 Mo 3.09
Tl (0.5000, 0.5000, 0.2492)  4 Mn 2.99, 4 Mo 3.00, 4 Tl 3.02-3.10
Tl (0.5000, 0.5000, 0.7508)  4 Mn 2.99, 4 Mo 3.00, 4 Tl 3.02-3.10
Mo (0.0000, 0.0000, 0.5000)  8 Tl 3.00, 2 Mo 3.02, 2 Mn 3.09

Computed properties:
Energy relative to the lowest polymorph listed for this composition   289 meV per atom
DOS at the Fermi energy   3.598 states/eV/f.u.

[2]
The following is a DFT calculation (GGA-PBE) of crystalline Na2NdCrSe4 at its relaxed geometry.

Cell: 6.9494 4.0525 7.4057 Å, 90.00 108.61 90.00°
Closest atoms and distances in Å follow each position.
Sites, in units of the cell vectors:
Na (0.0000, 0.0000, 0.0000)  6 Se 3.18
Na (0.5000, 0.5000, 0.0000)  6 Se 2.93-2.94
Nd (0.0000, 0.5000, 0.5000)  6 Se 2.92-2.94
Cr (0.5000, 0.0000, 0.5000)  6 Se 2.66-2.67
Se (0.2731, 0.0000, 0.7285)  1 Cr 2.66, 2 Nd 2.92, 2 Na 2.93
Se (0.2947, 0.5000, 0.2908)  2 Cr 2.67, 1 Nd 2.94, 1 Na 2.94
Se (0.7054, 0.5000, 0.7091)  2 Cr 2.67, 1 Nd 2.94, 1 Na 2.94
Se (0.7269, 0.0000, 0.2715)  1 Cr 2.66, 2 Nd 2.92, 2 Na 2.93

Computed properties:
Raw formation energy   -112.1 kJ per mole of atoms

[3]
The following is a DFT calculation (GGA-PBE) of crystalline SrHgPb2 at its relaxed geometry.

Cell: 12.4416 12.4416 12.4416 Å, 158.02 158.02 31.29°
Closest atoms and distances in Å follow each position.
Sites, in units of the cell vectors:
Sr (0.0000, 0.0000, 0.0000)  4 Hg 3.35, 4 Pb 3.46
Sr (0.7500, 0.2500, 0.5000)  4 Hg 3.35, 4 Pb 3.46
Hg (0.2500, 0.7500, 0.5000)  4 Sr 3.35, 4 Pb 3.41
Hg (0.5000, 0.5000, 0.0000)  4 Sr 3.35, 4 Pb 3.41
Pb (0.1389, 0.6250, 0.0139)  4 Pb 3.26-3.45, 2 Hg 3.41, 2 Sr 3.46
Pb (0.3750, 0.3889, 0.5139)  4 Pb 3.26-3.45, 2 Hg 3.41, 2 Sr 3.46
Pb (0.6111, 0.1250, 0.9861)  4 Pb 3.26-3.45, 2 Hg 3.41, 2 Sr 3.46
Pb (0.8750, 0.8611, 0.4861)  4 Pb 3.26-3.45, 2 Hg 3.41, 2 Sr 3.46

Computed properties:
Raw total energy   -2.544 eV/atom
DOS at the Fermi energy   2.624 states/eV/f.u.

[4]
The following is a DFT calculation (GGA-PBE) of crystalline LiSi2Sb at its relaxed geometry.

Cell: 3.0188 4.0658 6.0613 Å, 90.00 90.00 90.00°
Closest atoms and distances in Å follow each position.
Sites, in units of the cell vectors:
Li (0.0000, 0.0000, 0.0000)  8 Si 2.80, 2 Li 3.02, 2 Sb 3.03
Si (0.5000, 0.5000, 0.1974)  1 Si 2.39
Si (0.5000, 0.5000, 0.8026)  1 Si 2.39
Sb (0.0000, 0.0000, 0.5000)  2 Sb 3.02, 2 Li 3.03, 8 Si 3.13

Computed properties:
Raw formation energy   26.7 kJ per mole of atoms
DOS at the Fermi energy   2.043 states/eV/f.u.

[5]
The following is a DFT calculation (GGA-PBE) of crystalline CaMnGa at its relaxed geometry.

Cell: 4.5844 4.5844 3.6174 Å, 90.00 90.00 120.00°
Closest atoms and distances in Å follow each position.
Sites, in units of the cell vectors:
Ca (0.0000, 0.0000, 0.0000)  6 Mn 3.21, 6 Ga 3.21
Mn (0.3333, 0.6667, 0.5000)  3 Ga 2.65
Ga (0.6667, 0.3333, 0.5000)  3 Mn 2.65

Computed properties:
Raw total energy   -4.764 eV/atom
DOS at the Fermi energy   1.857 states/eV/f.u.

[6]
The following is a DFT calculation (GGA-PBE) of crystalline Pr2Er5Tm3 at its relaxed geometry.

Cell: 9.5245 9.5245 9.3383 Å, 108.04 108.04 112.85°
Closest atoms and distances in Å follow each position.
Sites, in units of the cell vectors:
Pr (0.0132, 0.2679, 0.0459)  3 Tm 3.13-3.42, 3 Er 3.27-3.43
Pr (0.2679, 0.0132, 0.5459)  3 Tm 3.13-3.42, 3 Er 3.27-3.43
Pr (0.7321, 0.9868, 0.4541)  3 Tm 3.13-3.42, 3 Er 3.27-3.43
Pr (0.9868, 0.7321, 0.9541)  3 Tm 3.13-3.42, 3 Er 3.27-3.43
Er (0.1525, 0.3869, 0.7818)  3 Tm 3.40-3.58, 2 Pr 3.42-3.64, 3 Er 3.47-3.66
Er (0.2323, 0.7677, 0.7500)  5 Tm 3.29-3.47, 2 Pr 3.43, 2 Er 3.53
Er (0.2742, 0.7258, 0.2500)  1 Er 3.15, 4 Pr 3.27-3.51
Er (0.3869, 0.1525, 0.2818)  3 Tm 3.40-3.58, 2 Pr 3.42-3.64, 3 Er 3.47-3.66
Er (0.4724, 0.5276, 0.2500)  3 Er 3.15-3.47, 4 Tm 3.31-3.45, 2 Pr 3.52
Er (0.5276, 0.4724, 0.7500)  3 Er 3.15-3.47, 4 Tm 3.31-3.45, 2 Pr 3.52
Er (0.6131, 0.8475, 0.7182)  3 Tm 3.40-3.58, 2 Pr 3.42-3.64, 3 Er 3.47-3.66
Er (0.7258, 0.2742, 0.7500)  1 Er 3.15, 4 Pr 3.27-3.51
Er (0.7677, 0.2323, 0.2500)  5 Tm 3.29-3.47, 2 Pr 3.43, 2 Er 3.53
Er (0.8475, 0.6131, 0.2182)  3 Tm 3.40-3.58, 2 Pr 3.42-3.64, 3 Er 3.47-3.66
Tm (0.0234, 0.9766, 0.7500)  4 Pr 3.31-3.42, 3 Er 3.32-3.49, 2 Tm 3.36
Tm (0.2212, 0.4625, 0.4499)  1 Pr 3.13, 5 Er 3.29-3.47, 1 Tm 3.36
Tm (0.4625, 0.2212, 0.9499)  1 Pr 3.13, 5 Er 3.29-3.47, 1 Tm 3.36
Tm (0.5375, 0.7788, 0.0501)  1 Pr 3.13, 5 Er 3.29-3.47, 1 Tm 3.36
Tm (0.7788, 0.5375, 0.5501)  1 Pr 3.13, 5 Er 3.29-3.47, 1 Tm 3.36
Tm (0.9766, 0.0234, 0.2500)  4 Pr 3.31-3.42, 3 Er 3.32-3.49, 2 Tm 3.36

Computed properties:
Energy relative to the lowest polymorph listed for this composition   0 meV per atom
DOS at the Fermi energy   16.556 states/eV/f.u.

[7]
The following is a DFT calculation (GGA-PBE) of crystalline AlSi2Ru at its relaxed geometry.

Cell: 4.2891 4.2891 4.2891 Å, 60.00 60.00 60.00°
Closest atoms and distances in Å follow each position.
Sites, in units of the cell vectors:
Al (0.0000, 0.0000, 0.0000)  4 Si 2.63, 4 Ru 2.63
Si (0.5000, 0.5000, 0.5000)  4 Si 2.63, 4 Ru 2.63
Si (0.7500, 0.7500, 0.7500)  4 Si 2.63, 4 Al 2.63
Ru (0.2500, 0.2500, 0.2500)  4 Si 2.63, 4 Al 2.63

Computed properties:
Raw formation energy   6.2 kJ per mole of atoms
DOS at the Fermi energy   4.197 states/eV/f.u.

[8]
The following is a DFT calculation (GGA-PBE) of crystalline Tl2In5Bi at its relaxed geometry.

Cell: 7.1987 7.1987 5.7695 Å, 90.00 90.00 90.00°
Closest atoms and distances in Å follow each position.
Sites, in units of the cell vectors:
Tl (0.0000, 0.5000, 0.0000)  10 In 3.60-3.88
Tl (0.5000, 0.0000, 0.0000)  10 In 3.60-3.88
In (0.0000, 0.0000, 0.0000)  2 Bi 2.88
In (0.2974, 0.2974, 0.5000)  2 In 2.92, 1 Bi 3.03
In (0.2974, 0.7026, 0.5000)  2 In 2.92, 1 Bi 3.03
In (0.7026, 0.2974, 0.5000)  2 In 2.92, 1 Bi 3.03
In (0.7026, 0.7026, 0.5000)  2 In 2.92, 1 Bi 3.03
Bi (0.0000, 0.0000, 0.5000)  6 In 2.88-3.03

Computed properties:
Energy relative to the lowest polymorph listed for this composition   188 meV per atom
DOS at the Fermi energy   4.746 states/eV/f.u.

[9]
The following is a DFT calculation (GGA-PBE) of crystalline Tb3Pr4Y3 at its relaxed geometry.

Cell: 3.8515 9.4004 9.4004 Å, 89.88 90.00 90.00°
Closest atoms and distances in Å follow each position.
Sites, in units of the cell vectors:
Tb (0.0000, 0.0000, 0.0000)  6 Pr 3.28-3.42
Tb (0.0000, 0.5002, 0.8353)  6 Pr 3.28-3.43
Tb (0.0000, 0.8353, 0.5002)  6 Pr 3.28-3.43
Pr (0.5000, 0.0345, 0.2989)  4 Tb 3.28-3.42, 3 Y 3.44-3.67, 1 Pr 3.51
Pr (0.5000, 0.2989, 0.0345)  4 Tb 3.28-3.42, 3 Y 3.44-3.67, 1 Pr 3.51
Pr (0.5000, 0.5367, 0.5367)  4 Y 3.30-3.67, 4 Tb 3.42, 1 Pr 3.51
Pr (0.5000, 0.8003, 0.8003)  6 Tb 3.28-3.43, 1 Pr 3.51
Y (0.0000, 0.3356, 0.3356)  6 Pr 3.30-3.44
Y (0.5000, 0.1682, 0.6665)  4 Pr 3.67-3.68, 4 Y 3.85-3.98, 6 Tb 4.00
Y (0.5000, 0.6665, 0.1682)  4 Pr 3.67-3.68, 4 Y 3.85-3.98, 6 Tb 4.00

Computed properties:
Raw total energy   -5.142 eV/atom
DOS at the Fermi energy   9.163 states/eV/f.u.

[10]
The following is a DFT calculation (GGA-PBE) of crystalline Al3CoBr at its relaxed geometry.

Cell: 5.1193 5.1193 5.1193 Å, 90.00 90.00 90.00°
Closest atoms and distances in Å follow each position.
Sites, in units of the cell vectors:
Al (0.0000, 0.0000, 0.5000)  2 Br 2.56
Al (0.0000, 0.5000, 0.0000)  2 Br 2.56
Al (0.5000, 0.0000, 0.0000)  2 Br 2.56
Co (0.5000, 0.5000, 0.5000)  12 Al 3.62
Br (0.0000, 0.0000, 0.0000)  6 Al 2.56

Computed properties:
Energy relative to the lowest polymorph listed for this composition   1513 meV per atom
Raw formation energy   132.7 kJ per mole of atoms
DOS at the Fermi energy   5.683 states/eV/f.u.

no.,total magnetization (Bohr magnetons per cell),V (Å³ per cell)
1,3.9,77
2,3.0,198
3,0.0,270
4,0.0,74
5,3.9,66
6,0.0,647
7,0.0,56
8,0.0,299
9,0.0,340
10,2.0,134